## one
Computed, not measured: CsLiBe2 after structural relaxation at the PBE level of DFT.

Properties
total magnetization: 0.24 μB per formula unit

Cell: 3.880 4.300 13.488 Å, 87.01 84.62 64.34°
Sites, in units of the cell vectors:
Cs: 0.000 0.000 0.000
Cs: 0.271 0.971 0.643
Li: 0.417 0.489 0.204
Li: 0.844 0.481 0.439
Be: 0.046 0.194 0.275
Be: 0.215 0.778 0.368
Be: 0.518 0.189 0.369
Be: 0.743 0.783 0.274

## two
Computed, not measured: CsLiBe2 after structural relaxation at the PBE level of DFT.

Properties
total magnetization: 0.00 μB per formula unit

Cell: 4.182 4.184 6.875 Å, 72.36 82.17 60.04°
Sites, in units of the cell vectors:
Cs: 0.000 0.000 0.000
Li: 0.014 0.740 0.517
Be: 0.349 0.099 0.463
Be: 0.676 0.437 0.462

one ends up most stable, edging out the next structure by 0.260 eV/atom.

## one
Computed, not measured: CsLiBe2 after structural relaxation at the PBE level of DFT.

Properties
total magnetization: 0.29 μB per formula unit

Cell: 4.327 4.327 14.794 Å, 98.86 98.86 60.07°
Sites, in units of the cell vectors:
Cs: 0.000 0.000 0.000
Cs: 0.239 0.239 0.681
Li: 0.410 0.410 0.214
Li: 0.833 0.833 0.473
Be: 0.292 0.292 0.360
Be: 0.292 0.795 0.360
Be: 0.779 0.779 0.319
Be: 0.795 0.292 0.360

## two
Computed, not measured: CsLiBe2 after structural relaxation at the PBE level of DFT.

Properties
total magnetization: 0.00 μB per formula unit

Cell: 5.489 5.489 5.489 Å, 60.00 60.00 60.00°
Sites, in units of the cell vectors:
Cs: 0.000 0.000 0.000
Li: 0.500 0.500 0.500
Be: 0.250 0.250 0.250
Be: 0.750 0.750 0.750

one ends up most stable, edging out the next structure by 1.022 eV/atom.

## one
Computed, not measured: CsLiBe2 after structural relaxation at the PBE level of DFT.

Properties
total magnetization: 0.00 μB per formula unit

Cell: 4.355 4.357 14.308 Å, 98.03 90.26 119.97°
Sites, in units of the cell vectors:
Cs: 0.000 0.000 0.000
Cs: 0.217 0.415 0.666
Li: 0.486 0.955 0.464
Li: 0.735 0.462 0.206
Be: 0.435 0.858 0.308
Be: 0.447 0.384 0.352
Be: 0.950 0.384 0.352
Be: 0.950 0.888 0.352

## two
Computed, not measured: CsLiBe2 after structural relaxation at the PBE level of DFT.

Properties
total magnetization: 0.00 μB per formula unit

Cell: 3.892 5.859 11.824 Å, 102.19 92.51 108.67°
Sites, in units of the cell vectors:
Cs: 0.137 0.143 0.293
Cs: 0.863 0.857 0.707
Li: 0.462 0.448 0.895
Li: 0.538 0.552 0.105
Be: 0.104 0.705 0.000
Be: 0.294 0.085 0.999
Be: 0.706 0.915 0.001
Be: 0.896 0.295 0.000

## three
Computed, not measured: CsLiBe2 after structural relaxation at the PBE level of DFT.

Properties
total magnetization: 0.00 μB per formula unit

Cell: 4.732 6.196 7.145 Å, 91.55 107.31 92.12°
Sites, in units of the cell vectors:
Cs: 0.224 0.245 0.430
Cs: 0.776 0.755 0.570
Li: 0.019 0.678 0.086
Li: 0.981 0.322 0.914
Be: 0.282 0.997 0.999
Be: 0.482 0.675 0.992
Be: 0.518 0.325 0.008
Be: 0.718 0.003 0.001

## four
Computed, not measured: CsLiBe2 after structural relaxation at the PBE level of DFT.

Properties
total magnetization: 0.39 μB per formula unit

Cell: 3.797 4.354 13.625 Å, 90.00 93.78 90.00°
Sites, in units of the cell vectors:
Cs: 0.000 0.000 0.000
Cs: 0.166 0.500 0.649
Li: 0.538 0.500 0.186
Li: 0.623 0.000 0.461
Be: 0.076 0.250 0.324
Be: 0.076 0.750 0.324
Be: 0.570 0.000 0.298
Be: 0.582 0.500 0.349

one ends up most stable, edging out the next structure by 0.005 eV/atom.

## one
Computed, not measured: Cs2LiBe after structural relaxation at the PBE level of DFT.

Properties
total magnetization: 0.00 μB per formula unit

Cell: 6.600 6.600 6.600 Å, 60.00 60.00 60.00°
Sites, in units of the cell vectors:
Cs: 0.250 0.250 0.250
Cs: 0.750 0.750 0.750
Li: 0.000 0.000 0.000
Be: 0.500 0.500 0.500

## two
Computed, not measured: Cs2LiBe after structural relaxation at the PBE level of DFT.

Properties
total magnetization: 0.00 μB per formula unit

Cell: 10.098 10.098 10.098 Å, 93.73 93.73 150.45°
Sites, in units of the cell vectors:
Cs: 0.375 0.192 0.317
Cs: 0.808 0.125 0.183
Cs: 0.875 0.058 0.683
Cs: 0.942 0.625 0.817
Li: 0.250 0.750 0.500
Li: 0.500 0.500 0.000
Be: 0.000 0.000 0.000
Be: 0.750 0.250 0.500

two ends up most stable, edging out the next structure by 0.151 eV/atom.

## one
Computed, not measured: CsLiBe3 after structural relaxation at the PBE level of DFT.

Properties
total magnetization: 0.00 μB per formula unit

Cell: 4.810 4.810 4.810 Å, 90.00 90.00 90.00°
Sites, in units of the cell vectors:
Cs: 0.000 0.000 0.000
Li: 0.500 0.500 0.500
Be: 0.000 0.500 0.500
Be: 0.500 0.000 0.500
Be: 0.500 0.500 0.000

## two
Computed, not measured: CsLiBe3 after structural relaxation at the PBE level of DFT.

Properties
total magnetization: 0.00 μB per formula unit

Cell: 6.050 6.050 6.050 Å, 90.00 90.00 90.00°
Sites, in units of the cell vectors:
Cs: 0.000 0.000 0.000
Li: 0.500 0.500 0.500
Be: 0.000 0.000 0.500
Be: 0.000 0.500 0.000
Be: 0.500 0.000 0.000

one ends up most stable, edging out the next structure by 0.873 eV/atom.

## one
Computed, not measured: Cs2LiBe2 after structural relaxation at the PBE level of DFT.

Properties
total magnetization: 0.00 μB per formula unit

Cell: 10.434 10.434 3.758 Å, 90.00 90.00 90.00°
Sites, in units of the cell vectors:
Cs: 0.199 0.301 0.000
Cs: 0.301 0.801 0.000
Cs: 0.699 0.199 0.000
Cs: 0.801 0.699 0.000
Li: 0.000 0.000 0.000
Li: 0.500 0.500 0.000
Be: 0.074 0.574 0.500
Be: 0.426 0.074 0.500
Be: 0.574 0.926 0.500
Be: 0.926 0.426 0.500

## two
Computed, not measured: Cs2LiBe2 after structural relaxation at the PBE level of DFT.

Properties
total magnetization: 0.00 μB per formula unit

Cell: 13.710 13.710 13.710 Å, 165.88 165.88 20.02°
Sites, in units of the cell vectors:
Cs: 0.126 0.126 0.000
Cs: 0.874 0.874 0.000
Li: 0.500 0.500 0.000
Be: 0.250 0.750 0.500
Be: 0.750 0.250 0.500

two ends up most stable, edging out the next structure by 0.204 eV/atom.

## one
Computed, not measured: CsNaLiBe2 after structural relaxation at the PBE level of DFT.

Properties
total magnetization: 0.00 μB per formula unit

Cell: 5.426 5.426 6.253 Å, 90.00 90.00 90.00°
Sites, in units of the cell vectors:
Cs: 0.000 0.000 0.000
Na: 0.000 0.000 0.500
Li: 0.500 0.500 0.000
Be: 0.000 0.500 0.500
Be: 0.500 0.000 0.500

## two
Computed, not measured: CsNaLiBe2 after structural relaxation at the PBE level of DFT.

Properties
total magnetization: 0.00 μB per formula unit

Cell: 6.104 6.104 6.630 Å, 90.00 90.00 90.00°
Sites, in units of the cell vectors:
Cs: 0.000 0.000 0.000
Na: 0.000 0.000 0.500
Li: 0.500 0.500 0.500
Be: 0.000 0.500 0.000
Be: 0.500 0.000 0.000

one ends up most stable, edging out the next structure by 0.337 eV/atom.

## one
Computed, not measured: CsMg3Be after structural relaxation at the PBE level of DFT.

Properties
total magnetization: 0.00 μB per formula unit

Cell: 5.197 5.197 5.197 Å, 90.00 90.00 90.00°
Sites, in units of the cell vectors:
Cs: 0.000 0.000 0.000
Mg: 0.000 0.500 0.500
Mg: 0.500 0.000 0.500
Mg: 0.500 0.500 0.000
Be: 0.500 0.500 0.500

## two
Computed, not measured: CsMg3Be after structural relaxation at the PBE level of DFT.

Properties
total magnetization: 0.00 μB per formula unit

Cell: 7.611 7.611 7.611 Å, 90.00 90.00 90.00°
Sites, in units of the cell vectors:
Cs: 0.000 0.000 0.000
Mg: 0.000 0.000 0.500
Mg: 0.000 0.500 0.000
Mg: 0.500 0.000 0.000
Be: 0.500 0.500 0.500

one ends up most stable, edging out the next structure by 1.241 eV/atom.

## one
Computed, not measured: CsMgBe3 after structural relaxation at the PBE level of DFT.

Properties
total magnetization: 0.00 μB per formula unit

Cell: 5.068 5.068 5.068 Å, 90.00 90.00 90.00°
Sites, in units of the cell vectors:
Cs: 0.000 0.000 0.000
Mg: 0.500 0.500 0.500
Be: 0.000 0.500 0.500
Be: 0.500 0.000 0.500
Be: 0.500 0.500 0.000

## two
Computed, not measured: CsMgBe3 after structural relaxation at the PBE level of DFT.

Properties
total magnetization: 0.00 μB per formula unit

Cell: 5.993 5.993 5.993 Å, 90.00 90.00 90.00°
Sites, in units of the cell vectors:
Cs: 0.000 0.000 0.000
Mg: 0.500 0.500 0.500
Be: 0.000 0.000 0.500
Be: 0.000 0.500 0.000
Be: 0.500 0.000 0.000

one ends up most stable, edging out the next structure by 0.991 eV/atom.

## one
Computed, not measured: CsMn3Be after structural relaxation at the PBE level of DFT.

Properties
total magnetization: 10.36 μB per formula unit

Cell: 4.993 4.993 4.993 Å, 90.00 90.00 90.00°
Sites, in units of the cell vectors:
Cs: 0.000 0.000 0.000
Mn: 0.000 0.000 0.500
Mn: 0.000 0.500 0.000
Mn: 0.500 0.000 0.000
Be: 0.500 0.500 0.500

## two
Computed, not measured: CsMn3Be after structural relaxation at the PBE level of DFT.

Properties
total magnetization: 12.29 μB per formula unit

Cell: 4.773 4.773 4.773 Å, 90.00 90.00 90.00°
Sites, in units of the cell vectors:
Cs: 0.000 0.000 0.000
Mn: 0.000 0.500 0.500
Mn: 0.500 0.000 0.500
Mn: 0.500 0.500 0.000
Be: 0.500 0.500 0.500

two ends up most stable, edging out the next structure by 1.594 eV/atom.

## one
Computed, not measured: CsBe3N after structural relaxation at the PBE level of DFT.

Properties
total magnetization: 0.00 μB per formula unit

Cell: 4.153 4.153 4.153 Å, 90.00 90.00 90.00°
Sites, in units of the cell vectors:
Cs: 0.000 0.000 0.000
Be: 0.000 0.500 0.500
Be: 0.500 0.000 0.500
Be: 0.500 0.500 0.000
N: 0.500 0.500 0.500

## two
Computed, not measured: CsBe3N after structural relaxation at the PBE level of DFT.

Properties
total magnetization: 2.34 μB per formula unit

Cell: 7.382 7.382 7.382 Å, 90.00 90.00 90.00°
Sites, in units of the cell vectors:
Cs: 0.000 0.000 0.000
Be: 0.000 0.000 0.500
Be: 0.000 0.500 0.000
Be: 0.500 0.000 0.000
N: 0.500 0.500 0.500

one ends up most stable, edging out the next structure by 1.608 eV/atom.

## one
Computed, not measured: CsBeN after structural relaxation at the PBE level of DFT.

Properties
total magnetization: 0.00 μB per formula unit

Cell: 7.018 3.240 12.029 Å, 90.00 123.26 90.00°
Sites, in units of the cell vectors:
Cs: 0.190 0.017 0.427
Cs: 0.190 0.483 0.927
Cs: 0.810 0.517 0.073
Cs: 0.810 0.983 0.573
Be: 0.418 0.014 0.257
Be: 0.418 0.486 0.757
Be: 0.582 0.514 0.243
Be: 0.582 0.986 0.743
N: 0.370 0.514 0.276
N: 0.370 0.986 0.776
N: 0.630 0.014 0.224
N: 0.630 0.486 0.724

## two
Computed, not measured: CsBeN after structural relaxation at the PBE level of DFT.

Properties
total magnetization: 0.00 μB per formula unit

Cell: 10.158 5.138 5.814 Å, 90.00 90.00 90.00°
Sites, in units of the cell vectors:
Cs: 0.158 0.250 0.032
Cs: 0.342 0.750 0.532
Cs: 0.658 0.250 0.468
Cs: 0.842 0.750 0.968
Be: 0.000 0.000 0.500
Be: 0.000 0.500 0.500
Be: 0.500 0.000 0.000
Be: 0.500 0.500 0.000
N: 0.042 0.750 0.380
N: 0.458 0.250 0.880
N: 0.542 0.750 0.120
N: 0.958 0.250 0.620

two ends up most stable, edging out the next structure by 0.071 eV/atom.